Record 1
{
  "formula": "SmPuGeRh",
  "functional": "PBE-GGA",
  "state": "relaxed",
  "lattice": [[-4.4357, -2.2938, 0.4527], [-0.3213, -4.9714, -0.5693], [-0.9170, -2.9239, 3.9689]],
  "species": ["Sm", "Ge", "Rh", "Pu"],
  "fractional_positions": [[0.5000, 0.5000, 0.5000], [0.7500, 0.7500, 0.7500], [0.2500, 0.2500, 0.2500], [0.0000, 0.0000, 0.0000]],
  "energy_ev_per_atom": -8.211,
  "sg": "F-43m (216)"
}

---

Record 2
{
  "formula": "Sm2PuGe3Rh4",
  "functional": "PBE-GGA",
  "state": "relaxed",
  "lattice": [[4.2171, 0.0000, 0.0000], [0.0000, 4.2171, 0.0000], [0.0000, 0.0000, 10.9601]],
  "species": ["Ge", "Pu", "Rh", "Rh", "Ge", "Sm", "Sm", "Rh", "Ge", "Rh"],
  "fractional_positions": [[0.0000, 0.5000, 0.1227], [0.5000, 0.5000, 0.5000], [0.5000, 0.0000, 0.6536], [0.0000, 0.0000, 0.0000], [0.5000, 0.0000, 0.8773], [0.5000, 0.0000, 0.2293], [0.0000, 0.5000, 0.7707], [0.0000, 0.5000, 0.3464], [0.0000, 0.0000, 0.5000], [0.5000, 0.5000, 0.0000]],
  "energy_ev_per_atom": -7.506,
  "sg": "P-4m2 (115)"
}

---

Record 3
{
  "formula": "Sr2PuGe3Rh4",
  "functional": "PBE-GGA",
  "state": "relaxed",
  "lattice": [[-2.0017, -3.8271, 0.2347], [0.8662, -0.7093, -4.1779], [9.4246, -4.7600, 2.7620]],
  "species": ["Rh", "Pu", "Ge", "Sr", "Ge", "Rh", "Sr", "Ge", "Rh", "Rh"],
  "fractional_positions": [[0.5000, 0.5000, 0.0000], [0.5000, 0.5000, 0.5000], [0.0000, 0.5000, 0.1174], [0.5000, 0.0000, 0.2341], [0.0000, 0.0000, 0.5000], [0.5000, 0.0000, 0.6481], [0.0000, 0.5000, 0.7659], [0.5000, 0.0000, 0.8826], [0.0000, 0.0000, 0.0000], [0.0000, 0.5000, 0.3519]],
  "energy_ev_per_atom": -6.776,
  "sg": "P-4m2 (115)"
}

---

Record 4
{
  "formula": "Tb2PuGe2Rh5",
  "functional": "PBE-GGA",
  "state": "relaxed",
  "lattice": [[-1.3679, 3.4011, -0.5756], [-9.0620, -3.8428, -1.1697], [-1.6681, 0.9744, 9.7223]],
  "species": ["Rh", "Tb", "Rh", "Rh", "Ge", "Pu", "Rh", "Rh", "Tb", "Ge", "Rh", "Pu", "Rh", "Rh", "Ge", "Ge", "Tb", "Rh", "Rh", "Tb"],
  "fractional_positions": [[0.5000, 0.7134, 0.4312], [0.0000, 0.1720, 0.3280], [0.5000, 0.0000, 0.5000], [0.5000, 0.7866, 0.9312], [0.0000, 0.3756, 0.1244], [0.0000, 0.0000, 0.0000], [0.5000, 0.0688, 0.7866], [0.5000, 0.4312, 0.2866], [0.0000, 0.6720, 0.1720], [0.0000, 0.6244, 0.8756], [0.5000, 0.2134, 0.0688], [0.0000, 0.5000, 0.5000], [0.5000, 0.5000, 0.0000], [0.5000, 0.2866, 0.5688], [0.0000, 0.1244, 0.6244], [0.0000, 0.8756, 0.3756], [0.0000, 0.3280, 0.8280], [0.5000, 0.5688, 0.7134], [0.5000, 0.9312, 0.2134], [0.0000, 0.8280, 0.6720]],
  "energy_ev_per_atom": -7.710,
  "sg": "P4/mbm (127)"
}

---

Record 5
{
  "formula": "TbPuGeRh",
  "functional": "PBE-GGA",
  "state": "relaxed",
  "lattice": [[-1.6666, -4.6832, 0.0019], [3.0672, -3.7301, -1.1783], [1.5148, -3.1758, 3.5114]],
  "species": ["Ge", "Rh", "Tb", "Pu"],
  "fractional_positions": [[0.7500, 0.7500, 0.7500], [0.2500, 0.2500, 0.2500], [0.5000, 0.5000, 0.5000], [0.0000, 0.0000, 0.0000]],
  "energy_ev_per_atom": -8.229,
  "sg": "F-43m (216)"
}

---

Record 6
{
  "formula": "Pu2TcGe6Rh",
  "functional": "PBE-GGA",
  "state": "relaxed",
  "lattice": [[-4.6302, -0.1195, -3.9186], [-3.2964, -5.0520, -0.6475], [-10.5531, 2.2555, 7.7039]],
  "species": ["Rh", "Pu", "Ge", "Ge", "Ge", "Ge", "Pu", "Ge", "Ge", "Tc", "Tc", "Ge", "Ge", "Rh", "Pu", "Ge", "Ge", "Ge", "Pu", "Ge"],
  "fractional_positions": [[0.0000, 0.0000, 0.0000], [0.7222, 0.7222, 0.8334], [0.8043, 0.2349, 0.1565], [0.0727, 0.6576, 0.6122], [0.6576, 0.0727, 0.6122], [0.3424, 0.3424, 0.3878], [0.2778, 0.2778, 0.1666], [0.1957, 0.7651, 0.8435], [0.9273, 0.3424, 0.3878], [0.4242, 0.4242, 0.7273], [0.5758, 0.5758, 0.2727], [0.3424, 0.9273, 0.3878], [0.2349, 0.8043, 0.1565], [0.5000, 0.5000, 0.5000], [0.1252, 0.1252, 0.6244], [0.7651, 0.1957, 0.8435], [0.1957, 0.1957, 0.8435], [0.6576, 0.6576, 0.6122], [0.8748, 0.8748, 0.3756], [0.8043, 0.8043, 0.1565]],
  "energy_ev_per_atom": -7.667,
  "sg": "R-3m (166)"
}

---

Record 7
{
  "formula": "PuTcGeRh",
  "functional": "PBE-GGA",
  "state": "relaxed",
  "lattice": [[-0.4313, -2.7030, 3.6549], [2.6777, -3.6708, 0.4536], [3.2658, -0.0635, 3.1908]],
  "species": ["Rh", "Tc", "Pu", "Ge"],
  "fractional_positions": [[0.0000, 0.0000, 0.0000], [0.5000, 0.5000, 0.5000], [0.7500, 0.7500, 0.7500], [0.2500, 0.2500, 0.2500]],
  "energy_ev_per_atom": -9.489,
  "sg": "F-43m (216)"
}

---

Record 8
{
  "formula": "PuTcGe2Rh",
  "functional": "PBE-GGA",
  "state": "relaxed",
  "lattice": [[4.2485, 0.0000, 0.0000], [0.0000, 4.2485, 0.0000], [-2.1243, -2.1243, 5.0860]],
  "species": ["Rh", "Tc", "Ge", "Ge", "Pu"],
  "fractional_positions": [[0.2500, 0.7500, 0.5000], [0.7500, 0.2500, 0.5000], [0.6270, 0.6270, 0.2541], [0.3730, 0.3730, 0.7459], [0.0000, 0.0000, 0.0000]],
  "energy_ev_per_atom": -8.746,
  "sg": "I-4m2 (119)"
}